Material: BeTlCo2
Method: DFT, PBE
State: optimized geometry

Output
Energy above the most stable polymorph in this dataset   1.5 meV/atom
Space-group type   C2/m
Fermi-level density of states   3.13 states/eV/f.u.
E_form   316.9 meV per atom
Crystal system   monoclinic

Structure (POSCAR):
```
BeTlCo2
1.0
3.803 -0.561 0.326
2.375 3.023 0.326
1.566 0.624 4.833
Be Tl Co
1 1 2
Direct
0.250 0.250 0.250
0.750 0.750 0.750
0.940 0.940 0.177
0.560 0.560 0.323
```